! PBE+U La2ScVO6, optimized geometry; values from VASP
! Calculated total energy   -8.5248 eV/atom
! Symmetry   P2_1/c, No. 14
&SYSTEM
  ibrav = 0, nat = 20, ntyp = 4
/
ATOMIC_SPECIES
O 16.00 O.upf
La 138.91 La.upf
Sc 44.96 Sc.upf
V 50.94 V.upf
CELL_PARAMETERS angstrom
-1.2431 4.7908 2.6861
-3.4723 1.5249 -4.3267
-6.1970 -3.6429 3.6893
ATOMIC_POSITIONS angstrom
O -7.1433 3.0358 0.7552
O -8.5413 0.6906 -0.3407
La -4.8734 0.5925 -3.1704
O -5.3151 1.8492 2.6408
O -3.1424 2.3385 -2.0825
O -2.3711 1.9822 2.3895
La -3.7279 2.1250 0.2758
Sc -3.7200 0.5739 3.1877
O -5.5972 0.8236 -0.5920
La -7.1845 0.5477 1.7730
V -0.6216 2.3954 1.3430
Sc -1.7361 0.7624 -2.1633
O -7.7700 0.3342 4.1313
O -9.6475 1.5425 2.1842
O -3.7690 -0.3631 1.2936
O -1.2649 1.1302 -0.1354
V -4.8346 -1.0590 -0.3187
O -4.5206 4.2295 1.0812
La -6.0390 2.0802 5.2192
O -6.3917 -1.5567 0.9676